(1)
Ce5AsSe4, optimized geometry, DFT PBE; uncorrected energy = -0.2416 hartree per atom; distance to the lowest polymorph of the same formula = 5.4 meV/atom; space-group type = No. 139; ΔE_f (raw) = -40.30 kcal/mol of atoms
1.0
4.166 0.000 -0.587
-0.083 4.165 -0.587
0.013 0.014 15.168
Ce As Se
5 1 4
direct
0.099 0.099 0.199 Ce
0.500 0.500 0.000 Ce
0.901 0.901 0.801 Ce
0.300 0.300 0.599 Ce
0.700 0.700 0.401 Ce
0.000 0.000 0.000 As
0.400 0.400 0.800 Se
0.800 0.800 0.601 Se
0.200 0.200 0.399 Se
0.600 0.600 0.200 Se

=====

(2)
DyMgCuRu, optimized geometry, DFT PBE; DFT formation energy = -0.6 eV per formula unit; uncorrected energy = -0.1852 hartree per atom; space-group type = No. 216
1.0
4.668 0.000 0.000
2.334 4.043 0.000
2.334 1.348 3.811
Ru Mg Cu Dy
1 1 1 1
direct
0.250 0.250 0.250 Ru
0.000 0.000 0.000 Mg
0.750 0.750 0.750 Cu
0.500 0.500 0.500 Dy

=====

(3)
Np3Tl3PtS8, optimized geometry, DFT PBE; uncorrected energy = -0.2389 hartree per atom; space-group type = No. 12; ΔE_f (raw) = -19.26 kcal/mol of atoms
1.0
7.759 0.000 0.000
-3.880 6.691 -0.031
0.000 -4.419 7.743
Np Tl Pt S
3 3 1 8
direct
0.500 0.000 0.500 Np
0.500 0.500 0.500 Np
0.000 0.500 0.500 Np
0.000 0.000 0.000 Tl
0.000 0.500 0.000 Tl
0.500 0.500 0.000 Tl
0.000 0.000 0.500 Pt
0.267 0.534 0.301 S
0.733 0.466 0.699 S
0.786 0.571 0.317 S
0.214 0.429 0.683 S
0.774 0.036 0.309 S
0.226 0.964 0.691 S
0.261 0.036 0.309 S
0.739 0.964 0.691 S

=====

(4)
LaNpS3, optimized geometry, DFT PBE; uncorrected energy = -0.2875 hartree per atom; distance to the lowest polymorph of the same formula = 22.6 meV/atom; space-group type = No. 59; ΔE_f (raw) = -40.89 kcal/mol of atoms
1.0
4.056 -0.001 0.000
0.001 6.601 0.000
0.000 0.000 8.813
La Np S
2 2 6
direct
0.750 0.250 0.148 La
0.250 0.750 0.852 La
0.750 0.750 0.403 Np
0.250 0.250 0.597 Np
0.750 0.750 0.076 S
0.250 0.250 0.924 S
0.750 0.983 0.666 S
0.750 0.517 0.666 S
0.250 0.017 0.334 S
0.250 0.483 0.334 S

=====

(5)
ThPa2PtN5, optimized geometry, DFT PBE; uncorrected energy = -0.3424 hartree per atom; space-group type = No. 140; ΔE_f (raw) = -25.03 kcal/mol of atoms
1.0
-5.329 3.461 -1.676
-3.845 -4.787 2.341
4.597 3.198 4.868
Th Pa Pt N
2 4 2 10
direct
0.250 0.250 0.500 Th
0.750 0.750 0.500 Th
0.167 0.333 0.000 Pa
0.667 0.167 0.000 Pa
0.333 0.833 0.000 Pa
0.833 0.667 0.000 Pa
0.250 0.750 0.500 Pt
0.750 0.250 0.500 Pt
0.962 0.462 0.255 N
0.707 0.207 0.745 N
0.038 0.538 0.745 N
0.207 0.038 0.745 N
0.538 0.707 0.745 N
0.793 0.962 0.255 N
0.462 0.293 0.255 N
0.293 0.793 0.255 N
0.500 0.500 0.000 N
0.000 0.000 0.000 N

=====

(6)
Na2GaTcSn, optimized geometry, DFT PBE; DFT formation energy = 5.3 eV per formula unit; uncorrected energy = -0.1083 hartree per atom; space-group type = No. 123
1.0
-5.015 -0.800 -1.222
-1.125 -0.836 5.162
-0.963 5.097 0.616
Na Sn Ga Tc
2 1 1 1
direct
0.000 0.000 0.500 Na
0.500 0.000 0.000 Na
0.000 0.500 0.000 Sn
0.000 0.000 0.000 Ga
0.500 0.500 0.500 Tc